No. 1
The following is a PBE-GGA calculation of crystalline ZrTe2Se at its relaxed geometry, from Alexandria via LeMat-Bulk.

Values from the calculation:
**E_form (uncorrected)**: -0.42 eV per atom
**SG**: P2, No. 3
**D(E_F)**: 5.1 states/eV per cell
**Total DFT energy (no corrections)**: -5.002 eV per atom

abc: 4.0701 6.5187 8.8618
angles: 95.00 90.00 90.00
Fractional positions:
Te  0.0347  0.5204  0.5209
Zr  0.0354  0.2037  0.7278
Se  0.2823  0.9528  0.2279
Te  0.0347  0.8871  0.9348
Se  0.2823  0.4547  0.2278
Te  0.5295  0.0204  0.5209
Zr  0.5289  0.7037  0.7278
Te  0.5295  0.3871  0.9348


No. 2
The following is a PBE-GGA calculation of crystalline TlCoAg2 at its relaxed geometry, from Alexandria via LeMat-Bulk.

Values from the calculation:
**SG**: Pmmm, No. 47
**Energy above the most stable polymorph in this dataset**: 0.090 eV/atom
**D(E_F)**: 5.0 states/eV per cell
**Formation energy**: 448 meV per atom
**Total DFT energy (no corrections)**: -3.346 eV per atom

abc: 3.0001 4.1204 5.8974
angles: 90.00 90.00 90.00
Fractional positions:
Ag  0.0000  0.0000  0.4763
Ag  0.0000  0.0000  0.0237
Tl  0.5000  0.5000  0.7500
Co  0.5000  0.5000  0.2500


No. 3
The following is a PBE-GGA calculation of crystalline Be2NbFe2 at its relaxed geometry, from Alexandria via LeMat-Bulk.

Values from the calculation:
**SG**: P4/mbm, No. 127
**Energy above the most stable polymorph in this dataset**: 0.000 eV/atom
**D(E_F)**: 5.8 states/eV per cell
**Formation energy**: -94 meV per atom
**Total DFT energy (no corrections)**: -6.983 eV per atom

abc: 6.2846 6.2846 2.7397
angles: 90.00 90.00 90.00
Fractional positions:
Nb  0.5000  0.5000  0.0000
Be  0.3824  0.8824  0.0000
Fe  0.8287  0.3287  0.5000
Be  0.1176  0.3824  0.0000
Nb  0.0000  0.0000  0.0000
Fe  0.6713  0.8287  0.5000
Fe  0.1713  0.6713  0.5000
Be  0.8824  0.6176  0.0000
Be  0.6176  0.1176  0.0000
Fe  0.3287  0.1713  0.5000


No. 4
The following is a PBE-GGA calculation of crystalline LiPrNp2S4 at its relaxed geometry, from Alexandria via LeMat-Bulk.

Values from the calculation:
**E_form (uncorrected)**: -1.52 eV per atom
**SG**: P2/m, No. 10
**D(E_F)**: 17.6 states/eV per cell
**Total DFT energy (no corrections)**: -7.660 eV per atom

abc: 3.9637 6.8488 6.8721
angles: 109.60 90.00 90.00
Fractional positions:
Np  0.0000  0.5000  0.5000
Np  0.5000  0.0000  0.5000
Pr  0.0000  0.0000  0.0000
S  0.5000  0.7378  0.7402
Li  0.5000  0.5000  0.0000
S  0.0000  0.7438  0.2542
S  0.5000  0.2622  0.2598
S  0.0000  0.2562  0.7458


Which formula does entry 3 have? Be2NbFe2


Which of these has the lowest total DFT energy (no corrections)? LiPrNp2S4